# ScSbMo3, optimized geometry, DFT GGA-PBE
data_ScSbMo3
_cell_length_a 4.898
_cell_length_b 4.898
_cell_length_c 4.898
_cell_angle_alpha 90.00
_cell_angle_beta 90.00
_cell_angle_gamma 90.00
_space_group_name_H-M_alt 'P 1'
_space_group_IT_number 1
loop_
_space_group_symop_operation_xyz
'x,y,z'
loop_
_atom_site_label
_atom_site_type_symbol
_atom_site_fract_x
_atom_site_fract_y
_atom_site_fract_z
_atom_site_occupancy
Sc1 Sc 0.000 0.000 0.000 1
Sb1 Sb 0.500 0.500 0.500 1
Mo1 Mo 0.000 0.500 0.500 1
Mo2 Mo 0.500 0.000 0.500 1
Mo3 Mo 0.500 0.500 0.000 1
# density = 6.4 g/cm³
# formation energy without anion corrections = 1.55 eV per atom
# E = -7.040 eV/atom
# total magnetization = 0.000 μB per cell
# crystal system = cubic
# space group = No. 221